Record 1
Material: ZrAs2O6
Method: DFT, GGA-PBE
State: relaxed

a b c (Å): 5.3924 5.3924 6.1065
angles (deg): 63.80 63.80 60.00
Atoms (fractional coordinates):
1 Zr 0.3221 0.3221 0.0336
2 As 0.8016 0.8016 0.5951
3 As 0.6292 0.6292 0.1124
4 O 0.6874 0.4799 0.8254
5 O 0.0073 0.6874 0.8254
6 O 0.4799 0.0073 0.8254
7 O 0.3190 0.5221 0.2619
8 O 0.8971 0.3190 0.2619
9 O 0.5221 0.8971 0.2619

Results
The uncorrected formation energy comes out at -1.753 eV/atom.

=====

Record 2
Material: ZrAs2O
Method: DFT, GGA-PBE
State: relaxed

a b c (Å): 5.3837 5.3837 6.9879
angles (deg): 67.34 67.34 90.00
Atoms (fractional coordinates):
1 As 0.5375 0.1250 0.2500
2 As 0.2125 0.6250 0.2500
3 As 0.3750 0.4625 0.7500
4 As 0.8750 0.7875 0.7500
5 O 0.5000 0.5000 0.0000
6 O 0.2500 0.7500 0.5000
7 Zr 0.0000 0.0000 0.0000
8 Zr 0.7500 0.2500 0.5000

Results
The uncorrected formation energy comes out at -0.033 eV/atom.

=====

Record 3
Material: ZrAs2O6
Method: DFT, GGA-PBE
State: relaxed

a b c (Å): 5.9176 5.7915 5.7915
angles (deg): 120.00 90.00 90.00
Atoms (fractional coordinates):
1 Zr 0.0000 0.0000 0.0000
2 As 0.7015 0.3333 0.6667
3 As 0.2985 0.6667 0.3333
4 O 0.7985 0.6574 0.8287
5 O 0.7985 0.1713 0.3426
6 O 0.2015 0.8287 0.1713
7 O 0.7985 0.1713 0.8287
8 O 0.2015 0.8287 0.6574
9 O 0.2015 0.3426 0.1713

Results
The uncorrected formation energy comes out at -1.615 eV/atom.

=====

Record 4
Material: As7Os6
Method: DFT, GGA-PBE
State: relaxed

a b c (Å): 9.3472 9.3472 9.3472
angles (deg): 32.77 32.77 32.77
Atoms (fractional coordinates):
1 As 0.9222 0.4172 0.4172
2 As 0.4172 0.4172 0.9222
3 As 0.4172 0.9222 0.4172
4 As 0.0778 0.5828 0.5828
5 As 0.5828 0.0778 0.5828
6 As 0.5828 0.5828 0.0778
7 As 0.5000 0.5000 0.5000
8 Os 0.9470 0.9470 0.9470
9 Os 0.0530 0.0530 0.0530
10 Os 0.8294 0.8294 0.8294
11 Os 0.1706 0.1706 0.1706
12 Os 0.6723 0.6723 0.6723
13 Os 0.3277 0.3277 0.3277

Results
The formation energy comes out at 1088.0 meV per atom.

=====

| no. | total DFT energy (no corrections) (eV/cell) | magnetic moment (μB per formula unit) |
| --- | --- | --- |
| 1 | -63.4 | 0.00 |
| 2 | -45.9 | 0.00 |
| 3 | -62.1 | 0.00 |
| 4 | -85.8 | 0.00 |